No. 1
A plane-wave DFT calculation with PBE was carried out for an optimized crystal structure of LuScTc4.

Properties
**ΔH_f (0 K)**: -1.46 eV per formula unit
**Symmetry**: No. 216

The structure in POSCAR format:
```
LuScTc4
1.0
5.303 0.000 0.000
2.652 4.593 0.000
2.652 1.531 4.330
Tc Sc Lu
4 1 1
Direct
0.625 0.125 0.625
0.625 0.625 0.125
0.625 0.625 0.625
0.125 0.625 0.625
0.000 0.000 0.000
0.250 0.250 0.250
```

=====

No. 2
A plane-wave DFT calculation with PBE was carried out for an optimized crystal structure of LuSc2Tc.

Properties
**ΔH_f (0 K)**: 0.58 eV per formula unit
**Symmetry**: No. 166

The structure in POSCAR format:
```
LuSc2Tc
1.0
-2.890 -0.411 1.386
-0.219 -0.360 3.204
-1.965 9.920 2.609
Sc Tc Lu
2 1 1
Direct
0.896 0.896 0.312
0.104 0.104 0.688
0.500 0.500 0.500
0.000 0.000 0.000
```

=====

No. 3
A plane-wave DFT calculation with PBE was carried out for an optimized crystal structure of LuSc2Tc.

Properties
**ΔH_f (0 K)**: -0.41 eV per formula unit
**Symmetry**: No. 123

The structure in POSCAR format:
```
LuSc2Tc
1.0
3.320 0.000 0.000
0.000 3.320 0.000
0.000 0.000 8.065
Sc Lu Tc
2 1 1
Direct
0.000 0.000 0.186
0.000 0.000 0.814
0.500 0.500 0.500
0.500 0.500 0.000
```

=====

No. 4
A plane-wave DFT calculation with PBE was carried out for an optimized crystal structure of LuScTlTc.

Properties
**ΔH_f (0 K)**: -0.51 eV per formula unit
**Symmetry**: No. 216

The structure in POSCAR format:
```
LuScTlTc
1.0
-2.523 4.156 0.621
-4.618 -0.158 1.636
-1.053 1.575 4.520
Lu Sc Tl Tc
1 1 1 1
Direct
0.500 0.500 0.500
0.000 0.000 0.000
0.250 0.250 0.250
0.750 0.750 0.750
```

=====

No. 5
A plane-wave DFT calculation with PBE was carried out for an optimized crystal structure of TmLuScTc.

Properties
**ΔH_f (0 K)**: 0.25 eV per formula unit
**Symmetry**: No. 216

The structure in POSCAR format:
```
TmLuScTc
1.0
4.994 0.000 0.000
2.497 4.325 0.000
2.497 1.442 4.078
Tc Lu Sc Tm
1 1 1 1
Direct
0.500 0.500 0.500
0.250 0.250 0.250
0.000 0.000 0.000
0.750 0.750 0.750
```

=====

No. 6
A plane-wave DFT calculation with PBE was carried out for an optimized crystal structure of LuScTe.

Properties
**Symmetry**: No. 156
**Raw formation energy**: -1.28 eV per formula unit

The structure in POSCAR format:
```
LuScTe
1.0
3.800 0.000 0.000
0.000 4.928 0.000
0.000 -2.464 4.268
Lu Te Sc
1 1 1
Direct
0.620 0.667 0.333
0.259 0.333 0.667
0.121 0.000 0.000
```

=====

No. 7
A plane-wave DFT calculation with PBE was carried out for an optimized crystal structure of LuScTe2.

Properties
**Symmetry**: No. 225
**Raw formation energy**: -3.85 eV per formula unit

The structure in POSCAR format:
```
LuScTe2
1.0
5.211 0.000 0.000
2.606 4.513 0.000
2.606 1.504 4.255
Te Sc Lu
2 1 1
Direct
0.250 0.250 0.250
0.750 0.750 0.750
0.500 0.500 0.500
0.000 0.000 0.000
```

=====

No. 8
A plane-wave DFT calculation with PBE was carried out for an optimized crystal structure of LuScTe.

Properties
**Symmetry**: No. 107
**Raw formation energy**: -2.15 eV per formula unit

The structure in POSCAR format:
```
LuScTe
1.0
-2.900 1.310 -1.970
-2.222 -2.578 1.557
1.395 4.046 4.193
Sc Te Lu
1 1 1
Direct
0.321 0.321 0.643
0.678 0.678 0.356
0.000 0.000 0.001
```

=====

No. 9
A plane-wave DFT calculation with PBE was carried out for an optimized crystal structure of LuScTe2.

Properties
**Symmetry**: No. 123
**Raw formation energy**: -3.84 eV per formula unit

The structure in POSCAR format:
```
LuScTe2
1.0
-3.518 0.760 -0.777
-0.785 0.044 3.597
1.503 7.208 0.240
Lu Sc Te
1 1 2
Direct
0.500 0.500 0.000
0.500 0.500 0.500
0.000 0.000 0.745
0.000 0.000 0.255
```

=====

No. 10
A plane-wave DFT calculation with PBE was carried out for an optimized crystal structure of LuScTe2.

Properties
**Symmetry**: No. 166
**Raw formation energy**: -4.40 eV per formula unit

The structure in POSCAR format:
```
LuScTe2
1.0
-3.625 0.225 -2.154
-2.320 -3.477 -0.597
-5.390 0.182 4.949
Te Sc Lu
2 1 1
Direct
0.748 0.748 0.757
0.252 0.252 0.243
0.000 0.000 0.000
0.500 0.500 0.500
```

=====

No. 11
A plane-wave DFT calculation with PBE was carried out for an optimized crystal structure of LuThSc2.

Properties
**ΔH_f (0 K)**: 0.25 eV per formula unit
**Symmetry**: No. 123

The structure in POSCAR format:
```
LuThSc2
1.0
3.874 0.000 0.000
0.000 3.874 0.000
0.000 0.000 7.346
Th Sc Lu
1 2 1
Direct
0.500 0.500 0.500
0.000 0.000 0.252
0.000 0.000 0.748
0.500 0.500 0.000
```

=====

No. 12
A plane-wave DFT calculation with PBE was carried out for an optimized crystal structure of LuThSc2.

Properties
**ΔH_f (0 K)**: 0.24 eV per formula unit
**Symmetry**: No. 225

The structure in POSCAR format:
```
LuThSc2
1.0
5.382 0.000 0.000
2.691 4.661 0.000
2.691 1.554 4.395
Lu Sc Th
1 2 1
Direct
0.500 0.500 0.500
0.750 0.750 0.750
0.250 0.250 0.250
0.000 0.000 0.000
```

=====

Number 1: DFT total energy -8.96 eV per atom, spin magnetization 0.00 μB/f.u.. Number 2: DFT total energy -6.74 eV per atom, spin magnetization 0.49 μB/f.u.. Number 3: DFT total energy -6.99 eV per atom, spin magnetization 0.00 μB/f.u.. Number 4: DFT total energy -6.02 eV per atom, spin magnetization 0.00 μB/f.u.. Number 5: DFT total energy -6.36 eV per atom, spin magnetization 0.00 μB/f.u.. Number 6: DFT total energy -5.09 eV per atom, spin magnetization 0.00 μB/f.u.. Number 7: DFT total energy -5.25 eV per atom, spin magnetization 1.35 μB/f.u.. Number 8: DFT total energy -5.38 eV per atom, spin magnetization 0.00 μB/f.u.. Number 9: DFT total energy -5.24 eV per atom, spin magnetization 1.09 μB/f.u.. Number 10: DFT total energy -5.38 eV per atom, spin magnetization 0.00 μB/f.u.. Number 11: DFT total energy -6.09 eV per atom, spin magnetization 0.00 μB/f.u.. Number 12: DFT total energy -6.09 eV per atom, spin magnetization 0.00 μB/f.u..